DFT (meta-GGA SCAN) results for a crystal of AgBi2MoPb relaxed with PBEsol.

a b c (Å): 5.808 5.808 5.028
angles (deg): 90.00 90.00 90.00
Atoms (fractional coordinates):
1 Ag 0.000 0.000 0.000
2 Bi 0.000 0.500 0.500
3 Bi 0.500 0.000 0.500
4 Mo 0.500 0.500 0.000
5 Pb 0.000 0.000 0.500

## Properties
formation energy: 7.26 eV/f.u.
electronic total energy: -58.387 eV per atom
DOS(E_F): 3.4 states/eV/cell
magnetization: 0.887 μB per atom
SG: P4/mmm (123)


DFT (meta-GGA SCAN) results for a crystal of Fe3ReO relaxed with PBEsol.

a b c (Å): 3.756 3.756 3.756
angles (deg): 90.00 90.00 90.00
Atoms (fractional coordinates):
1 Fe 0.000 0.000 0.500
2 Fe 0.000 0.500 0.000
3 Fe 0.500 0.000 0.000
4 Re 0.500 0.500 0.500
5 O 0.000 0.000 0.000

## Properties
electronic total energy: -26.295 eV per atom
DOS(E_F): 4.3 states/eV/cell
magnetization: 1.271 μB per atom
E_form (uncorrected): 4.6 kJ/mol of atoms
SG: Pm-3m (221)


DFT (meta-GGA SCAN) results for a crystal of TaGaO4 relaxed with PBEsol.

a b c (Å): 4.947 4.647 5.567
angles (deg): 90.00 90.00 90.00
Atoms (fractional coordinates):
1 Ta 0.000 0.000 0.000
2 Ta 0.000 0.500 0.500
3 Ga 0.500 0.000 0.644
4 Ga 0.500 0.500 0.144
5 O 0.171 0.224 0.703
6 O 0.171 0.276 0.203
7 O 0.322 0.729 0.424
8 O 0.322 0.771 0.924
9 O 0.678 0.229 0.924
10 O 0.678 0.271 0.424
11 O 0.829 0.724 0.203
12 O 0.829 0.776 0.703

## Properties
electronic total energy: -20.602 eV per atom
DOS(E_F): 0.0 states/eV/cell
magnetization: 0.000 μB per atom
E_form (uncorrected): -253.4 kJ/mol of atoms
SG: Pnc2 (30)


DFT (meta-GGA SCAN) results for a crystal of SnP2PbO8 relaxed with PBEsol.

a b c (Å): 4.850 14.746 9.888
angles (deg): 90.00 116.40 90.00
Atoms (fractional coordinates):
1 Sn 0.184 0.142 0.449
2 Sn 0.184 0.358 0.949
3 Sn 0.816 0.642 0.051
4 Sn 0.816 0.858 0.551
5 P 0.175 0.737 0.390
6 P 0.175 0.763 0.890
7 P 0.449 0.523 0.205
8 P 0.449 0.977 0.705
9 P 0.551 0.023 0.295
10 P 0.551 0.477 0.795
11 P 0.825 0.237 0.110
12 P 0.825 0.263 0.610
13 Pb 0.120 0.099 0.906
14 Pb 0.120 0.401 0.406
15 Pb 0.880 0.599 0.594
16 Pb 0.880 0.901 0.094
17 O 0.021 0.677 0.916
18 O 0.021 0.823 0.416
19 O 0.075 0.735 0.216
20 O 0.075 0.765 0.716
21 O 0.101 0.649 0.447
22 O 0.101 0.851 0.947
23 O 0.103 0.537 0.164
24 O 0.103 0.963 0.664
25 O 0.368 0.003 0.125
26 O 0.368 0.497 0.625
27 O 0.434 0.110 0.338
28 O 0.434 0.390 0.838
29 O 0.466 0.247 0.033
30 O 0.466 0.253 0.533
31 O 0.484 0.063 0.623
32 O 0.484 0.437 0.123
33 O 0.516 0.563 0.877
34 O 0.516 0.937 0.377
35 O 0.534 0.747 0.467
36 O 0.534 0.753 0.967
37 O 0.566 0.610 0.162
38 O 0.566 0.890 0.662
39 O 0.632 0.503 0.375
40 O 0.632 0.997 0.875
41 O 0.897 0.037 0.336
42 O 0.897 0.463 0.836
43 O 0.899 0.149 0.053
44 O 0.899 0.351 0.553
45 O 0.925 0.235 0.284
46 O 0.925 0.265 0.784
47 O 0.979 0.177 0.584
48 O 0.979 0.323 0.084

## Properties
electronic total energy: -17.390 eV per atom
DOS(E_F): 0.0 states/eV/cell
magnetization: 0.000 μB per atom
E_form (uncorrected): -211.7 kJ/mol of atoms
SG: P2_1/c (14)


DFT (meta-GGA SCAN) results for a crystal of ZnNi10P3 relaxed with PBEsol.

a b c (Å): 7.555 7.555 9.226
angles (deg): 90.00 90.00 120.00
Atoms (fractional coordinates):
1 Zn 0.000 0.000 0.000
2 Zn 0.333 0.667 0.640
3 Zn 0.667 0.333 0.360
4 Ni 0.000 0.000 0.379
5 Ni 0.000 0.000 0.621
6 Ni 0.000 0.341 0.500
7 Ni 0.000 0.659 0.500
8 Ni 0.017 0.509 0.241
9 Ni 0.140 0.281 0.796
10 Ni 0.140 0.860 0.796
11 Ni 0.182 0.365 0.066
12 Ni 0.182 0.818 0.066
13 Ni 0.281 0.140 0.204
14 Ni 0.333 0.667 0.386
15 Ni 0.333 0.667 0.903
16 Ni 0.341 0.000 0.500
17 Ni 0.341 0.341 0.500
18 Ni 0.365 0.182 0.934
19 Ni 0.491 0.509 0.241
20 Ni 0.491 0.983 0.241
21 Ni 0.509 0.017 0.759
22 Ni 0.509 0.491 0.759
23 Ni 0.635 0.818 0.066
24 Ni 0.659 0.000 0.500
25 Ni 0.659 0.659 0.500
26 Ni 0.667 0.333 0.097
27 Ni 0.667 0.333 0.614
28 Ni 0.719 0.860 0.796
29 Ni 0.818 0.182 0.934
30 Ni 0.818 0.635 0.934
31 Ni 0.860 0.140 0.204
32 Ni 0.860 0.719 0.204
33 Ni 0.983 0.491 0.759
34 P 0.000 0.500 0.000
35 P 0.165 0.330 0.309
36 P 0.165 0.835 0.309
37 P 0.330 0.165 0.691
38 P 0.500 0.000 0.000
39 P 0.500 0.500 0.000
40 P 0.670 0.835 0.309
41 P 0.835 0.165 0.691
42 P 0.835 0.670 0.691

## Properties
formation energy: -5.71 eV/f.u.
electronic total energy: -15.154 eV per atom
DOS(E_F): 19.0 states/eV/cell
magnetization: 0.000 μB per atom
SG: P-3m1 (164)


DFT (meta-GGA SCAN) results for a crystal of Sb4IrOs relaxed with PBEsol.

a b c (Å): 5.742 5.742 5.742
angles (deg): 60.00 60.00 60.00
Atoms (fractional coordinates):
1 Sb 0.125 0.125 0.125
2 Sb 0.125 0.125 0.625
3 Sb 0.125 0.625 0.125
4 Sb 0.625 0.125 0.125
5 Ir 0.750 0.750 0.750
6 Os 0.500 0.500 0.500

## Properties
electronic total energy: -46.876 eV per atom
DOS(E_F): 4.7 states/eV/cell
magnetization: 0.238 μB per atom
E_form (uncorrected): 173.1 kJ/mol of atoms
SG: F-43m (216)


DFT (meta-GGA SCAN) results for a crystal of MgAl2Te relaxed with PBEsol.

a b c (Å): 3.128 3.996 6.912
angles (deg): 90.00 90.00 90.00
Atoms (fractional coordinates):
1 Mg 0.000 0.000 0.000
2 Al 0.000 0.000 0.575
3 Al 0.500 0.500 0.741
4 Te 0.500 0.500 0.240

## Properties
electronic total energy: -14.361 eV per atom
DOS(E_F): 1.8 states/eV/cell
magnetization: 0.000 μB per atom
energy above the lowest structure with this stoichiometry: 0 meV/atom
E_form (uncorrected): 6.9 kJ/mol of atoms
SG: Pmm2 (25)


DFT (meta-GGA SCAN) results for a crystal of CoP2H8O10 relaxed with PBEsol.

a b c (Å): 5.183 9.898 8.544
angles (deg): 90.00 125.02 90.00
Atoms (fractional coordinates):
1 Co 0.000 0.000 0.000
2 Co 0.000 0.500 0.500
3 P 0.087 0.218 0.340
4 P 0.087 0.282 0.840
5 P 0.913 0.718 0.160
6 P 0.913 0.782 0.660
7 H 0.133 0.733 0.005
8 H 0.133 0.767 0.505
9 H 0.393 0.074 0.833
10 H 0.393 0.426 0.333
11 H 0.408 0.555 0.227
12 H 0.408 0.945 0.727
13 H 0.447 0.103 0.610
14 H 0.447 0.397 0.110
15 H 0.553 0.603 0.890
16 H 0.553 0.897 0.390
17 H 0.592 0.055 0.273
18 H 0.592 0.445 0.773
19 H 0.607 0.574 0.667
20 H 0.607 0.926 0.167
21 H 0.867 0.233 0.495
22 H 0.867 0.267 0.995
23 O 0.028 0.671 0.361
24 O 0.028 0.829 0.861
25 O 0.136 0.128 0.867
26 O 0.136 0.372 0.367
27 O 0.168 0.676 0.123
28 O 0.168 0.824 0.623
29 O 0.399 0.141 0.483
30 O 0.399 0.359 0.983
31 O 0.479 0.533 0.712
32 O 0.479 0.967 0.212
33 O 0.521 0.033 0.788
34 O 0.521 0.467 0.288
35 O 0.601 0.641 0.017
36 O 0.601 0.859 0.517
37 O 0.832 0.176 0.377
38 O 0.832 0.324 0.877
39 O 0.864 0.628 0.633
40 O 0.864 0.872 0.133
41 O 0.972 0.171 0.139
42 O 0.972 0.329 0.639

## Properties
electronic total energy: -7.658 eV per atom
DOS(E_F): 0.0 states/eV/cell
magnetization: 0.143 μB per atom
SG: P2_1/c (14)


DFT (meta-GGA SCAN) results for a crystal of MgScHgMo2 relaxed with PBEsol.

a b c (Å): 4.631 4.631 4.744
angles (deg): 90.00 90.00 90.00
Atoms (fractional coordinates):
1 Mg 0.000 0.000 0.000
2 Sc 0.500 0.500 0.500
3 Hg 0.000 0.000 0.500
4 Mo 0.000 0.500 0.000
5 Mo 0.500 0.000 0.000

## Properties
formation energy: 7.03 eV/f.u.
electronic total energy: -30.024 eV per atom
DOS(E_F): 5.2 states/eV/cell
magnetization: 0.000 μB per atom
SG: P4/mmm (123)


DFT (meta-GGA SCAN) results for a crystal of NaTi2P3O12 relaxed with PBEsol.

a b c (Å): 8.807 8.854 8.887
angles (deg): 94.18 116.79 116.66
Atoms (fractional coordinates):
1 Na 0.000 0.000 0.000
2 Na 0.331 0.405 0.044
3 Ti 0.066 0.537 0.178
4 Ti 0.448 0.785 0.910
5 Ti 0.536 0.297 0.451
6 Ti 0.939 0.970 0.584
7 P 0.124 0.306 0.479
8 P 0.426 0.445 0.726
9 P 0.481 0.964 0.472
10 P 0.664 0.134 0.976
11 P 0.724 0.178 0.370
12 P 0.974 0.677 0.619
13 O 0.028 0.101 0.431
14 O 0.030 0.812 0.526
15 O 0.060 0.751 0.101
16 O 0.064 0.123 0.785
17 O 0.091 0.454 0.027
18 O 0.144 0.663 0.755
19 O 0.147 0.396 0.347
20 O 0.341 0.762 0.383
21 O 0.342 0.231 0.244
22 O 0.447 0.016 0.931
23 O 0.447 0.371 0.873
24 O 0.481 0.723 0.087
25 O 0.482 0.642 0.766
26 O 0.523 0.405 0.630
27 O 0.564 0.977 0.681
28 O 0.659 0.165 0.793
29 O 0.691 0.014 0.462
30 O 0.732 0.763 0.586
31 O 0.742 0.007 0.017
32 O 0.777 0.496 0.486
33 O 0.789 0.322 0.108
34 O 0.875 0.617 0.043
35 O 0.908 0.768 0.730
36 O 0.962 0.327 0.509

## Properties
electronic total energy: -9.977 eV per atom
magnetization: 0.055 μB per atom
energy above the lowest structure with this stoichiometry: 751 meV/atom
E_form (uncorrected): -200.1 kJ/mol of atoms
SG: P1 (1)


DFT (meta-GGA SCAN) results for a crystal of SrZn2Fe relaxed with PBEsol.

a b c (Å): 4.965 4.965 4.965
angles (deg): 126.81 126.81 78.56
Atoms (fractional coordinates):
1 Sr 0.000 0.000 0.000
2 Zn 0.500 0.500 0.000
3 Zn 0.750 0.250 0.500
4 Fe 0.250 0.750 0.500

## Properties
formation energy: 1.65 eV/f.u.
electronic total energy: -16.447 eV per atom
DOS(E_F): 4.2 states/eV/cell
magnetization: 0.706 μB per atom
SG: I-4m2 (119)


DFT (meta-GGA SCAN) results for a crystal of K3SiCl relaxed with PBEsol.

a b c (Å): 6.285 6.285 6.285
angles (deg): 90.00 90.00 90.00
Atoms (fractional coordinates):
1 K 0.000 0.000 0.500
2 K 0.000 0.500 0.000
3 K 0.500 0.000 0.000
4 Si 0.000 0.000 0.000
5 Cl 0.500 0.500 0.500

## Properties
electronic total energy: -8.855 eV per atom
DOS(E_F): 3.5 states/eV/cell
magnetization: 0.400 μB per atom
E_form (uncorrected): -25.0 kJ/mol of atoms
SG: Pm-3m (221)


DFT (meta-GGA SCAN) results for a crystal of CaScTa2 relaxed with PBEsol.

a b c (Å): 5.799 5.799 2.850
angles (deg): 92.91 92.91 120.40
Atoms (fractional coordinates):
1 Ca 0.000 0.000 0.000
2 Sc 0.500 0.500 0.000
3 Ta 0.000 0.500 0.500
4 Ta 0.500 0.000 0.500

## Properties
formation energy: 2.44 eV/f.u.
electronic total energy: -38.656 eV per atom
DOS(E_F): 4.5 states/eV/cell
magnetization: 0.000 μB per atom
SG: C2/m (12)


DFT (meta-GGA SCAN) results for a crystal of Y2Cr2O7 relaxed with PBEsol.

a b c (Å): 6.983 6.983 6.983
angles (deg): 60.00 60.00 60.00
Atoms (fractional coordinates):
1 Y 0.000 0.000 0.000
2 Y 0.000 0.000 0.500
3 Y 0.000 0.500 0.000
4 Y 0.500 0.000 0.000
5 Cr 0.000 0.500 0.500
6 Cr 0.500 0.000 0.500
7 Cr 0.500 0.500 0.000
8 Cr 0.500 0.500 0.500
9 O 0.125 0.125 0.125
10 O 0.172 0.172 0.578
11 O 0.172 0.578 0.172
12 O 0.172 0.578 0.578
13 O 0.422 0.422 0.828
14 O 0.422 0.828 0.422
15 O 0.422 0.828 0.828
16 O 0.578 0.172 0.172
17 O 0.578 0.172 0.578
18 O 0.578 0.578 0.172
19 O 0.828 0.422 0.422
20 O 0.828 0.422 0.828
21 O 0.828 0.828 0.422
22 O 0.875 0.875 0.875

## Properties
electronic total energy: -15.415 eV per atom
DOS(E_F): 7.1 states/eV/cell
magnetization: 0.364 μB per atom
E_form (uncorrected): -293.7 kJ/mol of atoms
SG: Fd-3m (227)


DFT (meta-GGA SCAN) results for a crystal of LaNi5H7 relaxed with PBEsol.

a b c (Å): 5.264 5.264 8.589
angles (deg): 90.00 90.00 120.00
Atoms (fractional coordinates):
1 La 0.000 0.000 0.000
2 La 0.000 0.000 0.500
3 Ni 0.001 0.501 0.233
4 Ni 0.333 0.667 0.463
5 Ni 0.333 0.667 0.988
6 Ni 0.499 0.501 0.233
7 Ni 0.499 0.999 0.233
8 Ni 0.501 0.001 0.733
9 Ni 0.501 0.499 0.733
10 Ni 0.667 0.333 0.488
11 Ni 0.667 0.333 0.963
12 Ni 0.999 0.499 0.733
13 H 0.013 0.506 0.542
14 H 0.147 0.295 0.253
15 H 0.147 0.853 0.253
16 H 0.295 0.147 0.753
17 H 0.333 0.667 0.802
18 H 0.494 0.506 0.542
19 H 0.494 0.987 0.542
20 H 0.506 0.013 0.042
21 H 0.506 0.494 0.042
22 H 0.667 0.333 0.302
23 H 0.705 0.853 0.253
24 H 0.853 0.147 0.753
25 H 0.853 0.705 0.753
26 H 0.987 0.494 0.042

## Properties
electronic total energy: -11.637 eV per atom
DOS(E_F): 13.2 states/eV/cell
magnetization: 0.000 μB per atom
SG: P6_3mc (186)


DFT (meta-GGA SCAN) results for a crystal of Na2NiAsCO7 relaxed with PBEsol.

a b c (Å): 5.236 6.482 9.043
angles (deg): 90.00 91.83 90.00
Atoms (fractional coordinates):
1 Na 0.224 0.006 0.268
2 Na 0.224 0.494 0.268
3 Na 0.776 0.506 0.732
4 Na 0.776 0.994 0.732
5 Ni 0.224 0.250 0.843
6 Ni 0.776 0.750 0.157
7 As 0.296 0.750 0.931
8 As 0.704 0.250 0.069
9 C 0.292 0.250 0.580
10 C 0.708 0.750 0.420
11 O 0.075 0.250 0.651
12 O 0.146 0.750 0.095
13 O 0.217 0.546 0.818
14 O 0.217 0.954 0.818
15 O 0.296 0.250 0.442
16 O 0.373 0.250 0.036
17 O 0.489 0.250 0.669
18 O 0.511 0.750 0.331
19 O 0.627 0.750 0.964
20 O 0.704 0.750 0.558
21 O 0.783 0.046 0.182
22 O 0.783 0.454 0.182
23 O 0.854 0.250 0.905
24 O 0.925 0.750 0.349

## Properties
electronic total energy: -9.796 eV per atom
DOS(E_F): 0.3 states/eV/cell
magnetization: 0.083 μB per atom
E_form (uncorrected): -153.1 kJ/mol of atoms
SG: P2_1/m (11)


DFT (meta-GGA SCAN) results for a crystal of BaZrTe2 relaxed with PBEsol.

a b c (Å): 5.441 5.441 5.441
angles (deg): 60.00 60.00 60.00
Atoms (fractional coordinates):
1 Ba 0.000 0.000 0.000
2 Zr 0.250 0.250 0.250
3 Te 0.500 0.500 0.500
4 Te 0.750 0.750 0.750

## Properties
electronic total energy: -36.332 eV per atom
DOS(E_F): 3.4 states/eV/cell
magnetization: 0.494 μB per atom
energy above the lowest structure with this stoichiometry: 841 meV/atom
E_form (uncorrected): -13.9 kJ/mol of atoms
SG: F-43m (216)